# 1
Computed, not measured: a geometry-optimized BaMg3Hg structure at the PBE level of DFT.

Output
* energy above the most stable polymorph in this dataset: 1.0332 eV per atom
* energy of formation: 0.85 eV per atom
* calculated volume: 72.83 Å³ per atom

```
BaMg3Hg
1.0
7.141 0.000 0.000
0.000 7.141 0.000
0.000 0.000 7.141
Ba Mg Hg
1 3 1
Direct
0.000 0.000 0.000
0.000 0.000 0.500
0.000 0.500 0.000
0.500 0.000 0.000
0.500 0.500 0.500
```

=====

# 2
Computed, not measured: a geometry-optimized Ce5Tl2Au2 structure at the PBE level of DFT.

Output
* energy of formation: -0.30 eV per atom
* calculated volume: 29.36 Å³ per atom

```
Ce5Tl2Au2
1.0
8.014 -4.246 0.000
8.014 4.246 0.000
0.000 0.000 7.764
Ce Tl Au
10 4 4
Direct
0.000 0.000 0.000
0.055 0.690 0.663
0.190 0.555 0.163
0.310 0.945 0.663
0.445 0.810 0.163
0.500 0.500 0.500
0.555 0.190 0.837
0.690 0.055 0.337
0.810 0.445 0.837
0.945 0.310 0.337
0.213 0.213 0.000
0.287 0.287 0.500
0.713 0.713 0.500
0.787 0.787 0.000
0.121 0.879 0.368
0.379 0.621 0.868
0.621 0.379 0.132
0.879 0.121 0.632
```

=====

# 3
Computed, not measured: a geometry-optimized Al2PPt structure at the PBE level of DFT.

Output
* energy of formation: -0.39 eV per atom
* calculated volume: 14.98 Å³ per atom

```
Al2PPt
1.0
3.361 0.000 0.000
0.000 3.298 0.000
-0.626 0.000 5.406
Al P Pt
2 1 1
Direct
0.022 0.000 0.257
0.978 0.000 0.743
0.500 0.500 0.500
0.500 0.500 0.000
```